Record 1
Material: Nd2YF
Method: DFT, GGA-PBE
State: optimized geometry

As for the crystal system: trigonal. The energy relative to the elements, uncorrected is -1.14 eV/atom.

The space group is R-3m (No. 166, hexagonal axes) and the conventional cell measures 3.8131, 3.8131 and 26.0834 Å, with angles of 90.00, 90.00 and 120.00 degrees. The distinct sites, in fractional coordinates, are Nd at (0.0000, 0.0000, 0.2228), Y at (0.0000, 0.0000, 0.0000) and F at (0.0000, 0.0000, 0.5000).



Record 2
Material: NdY3F
Method: DFT, GGA-PBE
State: optimized geometry

As for the crystal system: cubic. The energy relative to the elements, uncorrected is -0.92 eV/atom.

The space group is Pm-3m (No. 221) and the conventional cell measures 5.1052, 5.1052 and 5.1052 Å, with angles of 90.00, 90.00 and 90.00 degrees. The distinct sites, in fractional coordinates, are Nd at (0.0000, 0.0000, 0.0000), Y at (0.0000, 0.5000, 0.5000) and F at (0.5000, 0.5000, 0.5000).



Record 3
Material: NdY2F11
Method: DFT, GGA-PBE
State: optimized geometry

As for the crystal system: orthorhombic. The energy relative to the elements, uncorrected is -3.42 eV/atom.

The space group is Ibam (No. 72) and the conventional cell measures 8.4430, 10.3504 and 11.5182 Å, with angles of 90.00, 90.00 and 90.00 degrees. The distinct sites, in fractional coordinates, are Nd at (0.0000, 0.0000, 0.2500), Y at (0.1584, 0.3110, 0.0000), F at (0.0000, 0.5000, 0.0000), F at (0.1046, 0.1734, 0.1400), F at (0.1088, 0.3052, 0.5000) and F at (0.2104, 0.0778, 0.3686).



Number 1: VASP energy -5.61 eV/atom, calculated volume 27.4 Å³/atom, M_tot 0.000 μB/cell. Number 2: VASP energy -6.12 eV/atom, calculated volume 26.6 Å³/atom, M_tot 0.000 μB/cell. Number 3: VASP energy -6.16 eV/atom, calculated volume 18.0 Å³/atom, M_tot 8.447 μB/cell.